Record 1
Crystalline TbLu2Ti at its relaxed geometry, computed with PBE.

Output
* energy of formation from the pure elements: 406.1 meV/atom

Geometry as POSCAR:
```
TbLu2Ti
1.0
1.658 0.957 11.548
-1.658 0.957 11.548
0.000 -1.915 11.548
Tb Lu Ti
1 2 1
Cartesian
0.000 0.000 0.000
0.000 0.000 14.420
0.000 0.000 20.224
0.000 0.000 17.322
```

***

Record 2
Crystalline ZnBiC2 at its relaxed geometry, computed with PBE.

Output
* energy of formation from the pure elements: 2210.9 meV/atom

Geometry as POSCAR:
```
ZnBiC2
1.0
0.000 3.055 3.055
3.055 0.000 3.055
3.055 3.055 0.000
Zn Bi C
1 1 2
Cartesian
0.000 0.000 0.000
3.055 3.055 3.055
1.528 1.528 1.528
4.583 4.583 4.583
```

***

Record 3
Crystalline SmTmO4 at its relaxed geometry, computed with PBE.

Output
* raw formation energy: -2.949 eV per atom

Geometry as POSCAR:
```
SmTmO4
1.0
3.365 -1.909 0.000
3.365 1.909 0.000
-0.760 0.000 6.226
Sm Tm O
1 1 4
Cartesian
0.000 0.000 0.000
3.782 0.000 3.370
1.215 0.000 2.131
2.508 0.000 1.368
3.761 0.000 5.628
5.978 0.000 3.838
```

***

| no. | density of states at the Fermi level (states/eV/f.u.) | E (eV/atom) |
| --- | --- | --- |
| 1 | 5.40 | -4.986 |
| 2 | 2.24 | -3.690 |
| 3 | 0.00 | -7.786 |